{
  "formula": "Y2PIr",
  "functional": "GGA-PBE",
  "state": "optimized geometry",
  "space_group": "No. 123",
  "delta_e_f_ev_per_atom": -0.8756,
  "total_energy_ev_per_atom": -7.675,
  "magmom_total_mub_per_fu": 0.00,
  "density_g_cm3": 8.0,
  "cell": [[4.8593, 0.0000, 0.0000], [0.0000, 4.8593, 0.0000], [0.0000, 0.0000, 3.5186]],
  "species": ["Y", "Y", "Ir", "P"],
  "fractional_positions": [[0.5000, 0.0000, 0.0000], [0.0000, 0.5000, 0.0000], [0.5000, 0.5000, 0.5000], [0.0000, 0.0000, 0.5000]]
}